[1]
First-principles (GGA-PBE) data for a relaxed Y3RhO crystal, as listed in Alexandria via LeMat-Bulk.

As for the total energy: -7.765 eV per atom. The raw formation energy is -687 kJ/mol of formula units. The density of states at the Fermi level comes out at 5.07 states/eV/cell.

It has space group P2/m (No. 10), with a = 7.3662 Å, b = 3.6097 Å, c = 8.2677 Å, α = 90.00°, β = 106.16° and γ = 90.00°. The inequivalent atoms are Y at (0.0826, 0.0000, 0.3315), Y at (0.2884, 0.0000, 0.0234), Y at (0.3505, 0.5000, 0.6840), Rh at (0.0000, 0.5000, 0.0000), Rh at (0.5000, 0.0000, 0.5000), O at (0.0000, 0.5000, 0.5000) and O at (0.5000, 0.5000, 0.0000).



[2]
First-principles (GGA-PBE) data for a relaxed YRhO2 crystal, as listed in Alexandria via LeMat-Bulk.

As for the total energy: -7.419 eV per atom. The raw formation energy is -574 kJ/mol of formula units. The density of states at the Fermi level comes out at 6.54 states/eV/cell.

It has space group Fm-3m (No. 225), with a = 5.8132 Å, b = 5.8132 Å, c = 5.8132 Å, α = 90.00°, β = 90.00° and γ = 90.00°. The inequivalent atoms are Y at (0.0000, 0.0000, 0.0000), Rh at (0.0000, 0.0000, 0.5000) and O at (0.2500, 0.2500, 0.2500).



[3]
First-principles (GGA-PBE) data for a relaxed Y2Rh2O7 crystal, as listed in Alexandria via LeMat-Bulk.

As for the total energy: -7.719 eV per atom. The raw formation energy is -2177 kJ/mol of formula units. The density of states at the Fermi level comes out at 49.51 states/eV/cell.

It has space group Fd-3m (No. 227, origin choice 2), with a = 10.2367 Å, b = 10.2367 Å, c = 10.2367 Å, α = 90.00°, β = 90.00° and γ = 90.00°. The inequivalent atoms are Y at (0.0000, 0.0000, 0.0000), Rh at (0.0000, 0.0000, 0.5000), O at (0.0864, 0.3750, 0.8750) and O at (0.1250, 0.1250, 0.1250).



[4]
First-principles (GGA-PBE) data for a relaxed Y2RhO crystal, as listed in Alexandria via LeMat-Bulk.

As for the total energy: -7.462 eV per atom. The raw formation energy is -445 kJ/mol of formula units. The density of states at the Fermi level comes out at 9.90 states/eV/cell.

It has space group R-3m (No. 166, hexagonal axes), with a = 3.3520 Å, b = 3.3520 Å, c = 23.7858 Å, α = 90.00°, β = 90.00° and γ = 120.00°. The inequivalent atoms are Y at (0.0000, 0.0000, 0.1069), Rh at (0.0000, 0.0000, 0.0000) and O at (0.0000, 0.0000, 0.5000).



[5]
First-principles (GGA-PBE) data for a relaxed Y12Rh3O5 crystal, as listed in Alexandria via LeMat-Bulk.

As for the total energy: -7.858 eV per atom. The raw formation energy is -3159 kJ/mol of formula units. The density of states at the Fermi level comes out at 125.61 states/eV/cell.

It has space group Ia-3d (No. 230), with a = 15.1917 Å, b = 15.1917 Å, c = 15.1917 Å, α = 90.00°, β = 90.00° and γ = 90.00°. The inequivalent atoms are Y at (0.0330, 0.0558, 0.6515), Rh at (0.0000, 0.2500, 0.1250), O at (0.0000, 0.0000, 0.0000) and O at (0.0000, 0.2500, 0.3750).



[6]
First-principles (GGA-PBE) data for a relaxed YRh3O6 crystal, as listed in Alexandria via LeMat-Bulk.

As for the total energy: -7.210 eV per atom. The raw formation energy is -1335 kJ/mol of formula units. The density of states at the Fermi level comes out at 13.87 states/eV/cell.

It has space group Cmmm (No. 65), with a = 7.2068 Å, b = 10.1432 Å, c = 3.2992 Å, α = 90.00°, β = 90.00° and γ = 90.00°. The inequivalent atoms are Y at (0.0000, 0.0000, 0.0000), Rh at (0.0000, 0.5000, 0.0000), Rh at (0.2500, 0.2500, 0.5000), O at (0.0000, 0.1540, 0.5000) and O at (0.2024, 0.3687, 0.0000).



[7]
First-principles (GGA-PBE) data for a relaxed Y2RhO crystal, as listed in Alexandria via LeMat-Bulk.

As for the total energy: -7.929 eV per atom. The raw formation energy is -625 kJ/mol of formula units. The density of states at the Fermi level comes out at 8.87 states/eV/cell.

It has space group I-42d (No. 122), with a = 6.4651 Å, b = 6.4651 Å, c = 8.0084 Å, α = 90.00°, β = 90.00° and γ = 90.00°. The inequivalent atoms are Y at (0.1867, 0.2500, 0.1250), Rh at (0.0000, 0.0000, 0.5000) and O at (0.0000, 0.0000, 0.0000).



[8]
First-principles (GGA-PBE) data for a relaxed Y4Rh6O19 crystal, as listed in Alexandria via LeMat-Bulk.

As for the total energy: -7.246 eV per atom. The raw formation energy is -4436 kJ/mol of formula units. The density of states at the Fermi level comes out at 29.49 states/eV/cell.

It has space group I23 (No. 197), with a = 8.7616 Å, b = 8.7616 Å, c = 8.7616 Å, α = 90.00°, β = 90.00° and γ = 90.00°. The inequivalent atoms are Y at (0.1589, 0.1589, 0.8411), Rh at (0.0000, 0.3345, 0.5000), O at (0.0000, 0.0000, 0.0000), O at (0.0000, 0.0000, 0.3422) and O at (0.0459, 0.3084, 0.2809).



[9]
First-principles (GGA-PBE) data for a relaxed YRhO2 crystal, as listed in Alexandria via LeMat-Bulk.

As for the total energy: -7.867 eV per atom. The raw formation energy is -746 kJ/mol of formula units. The density of states at the Fermi level comes out at 18.40 states/eV/cell.

It has space group R-3m (No. 166, hexagonal axes), with a = 3.4323 Å, b = 3.4323 Å, c = 18.3008 Å, α = 90.00°, β = 90.00° and γ = 120.00°. The inequivalent atoms are Y at (0.0000, 0.0000, 0.0000), Rh at (0.0000, 0.0000, 0.5000) and O at (0.0000, 0.0000, 0.3913).



[10]
First-principles (GGA-PBE) data for a relaxed YRh2O crystal, as listed in Alexandria via LeMat-Bulk.

As for the total energy: -7.034 eV per atom. The raw formation energy is -194 kJ/mol of formula units. The density of states at the Fermi level comes out at 8.86 states/eV/cell.

It has space group I-42d (No. 122), with a = 4.8494 Å, b = 4.8494 Å, c = 12.8235 Å, α = 90.00°, β = 90.00° and γ = 90.00°. The inequivalent atoms are Y at (0.0000, 0.0000, 0.0000), Rh at (0.0695, 0.7500, 0.6250) and O at (0.0000, 0.0000, 0.5000).



[11]
First-principles (GGA-PBE) data for a relaxed YZn2RhO crystal, as listed in Alexandria via LeMat-Bulk.

As for the total energy: -4.433 eV per atom. The raw formation energy is -82 kJ/mol of formula units. The density of states at the Fermi level comes out at 4.16 states/eV/cell.

It has space group P4/mmm (No. 123), with a = 5.0452 Å, b = 5.0452 Å, c = 3.7730 Å, α = 90.00°, β = 90.00° and γ = 90.00°. The inequivalent atoms are Y at (0.0000, 0.0000, 0.0000), Zn at (0.0000, 0.5000, 0.5000), Rh at (0.5000, 0.5000, 0.5000) and O at (0.5000, 0.5000, 0.0000).



[12]
First-principles (GGA-PBE) data for a relaxed ZnRh6O12 crystal, as listed in Alexandria via LeMat-Bulk.

As for the total energy: -6.057 eV per atom. The raw formation energy is -984 kJ/mol of formula units. The density of states at the Fermi level comes out at 38.59 states/eV/cell.

It has space group R-3 (No. 148, hexagonal axes), with a = 9.1449 Å, b = 9.1449 Å, c = 8.4781 Å, α = 90.00°, β = 90.00° and γ = 120.00°. The inequivalent atoms are Zn at (0.0000, 0.0000, 0.0000), Rh at (0.0471, 0.8032, 0.6649), O at (0.0382, 0.8152, 0.4012) and O at (0.0462, 0.8287, 0.8924).



[13]
First-principles (GGA-PBE) data for a relaxed Zn2RhO2 crystal, as listed in Alexandria via LeMat-Bulk.

For the energy above the most stable polymorph in this dataset, the calculation gives 55 meV/atom. As for the total energy: -4.373 eV per atom. The raw formation energy is -198 kJ/mol of formula units. The density of states at the Fermi level comes out at 5.03 states/eV/cell.

It has space group P4/mbm (No. 127), with a = 6.1350 Å, b = 6.1350 Å, c = 2.9935 Å, α = 90.00°, β = 90.00° and γ = 90.00°. The inequivalent atoms are Zn at (0.1609, 0.3391, 0.0000), Rh at (0.0000, 0.0000, 0.5000) and O at (0.1563, 0.6563, 0.5000).



[14]
First-principles (GGA-PBE) data for a relaxed ZnRhO crystal, as listed in Alexandria via LeMat-Bulk.

As for the total energy: -5.082 eV per atom. The raw formation energy is -160 kJ/mol of formula units. The density of states at the Fermi level comes out at 5.53 states/eV/cell.

It has space group P-6m2 (No. 187), with a = 2.8914 Å, b = 2.8914 Å, c = 10.3651 Å, α = 90.00°, β = 90.00° and γ = 120.00°. The inequivalent atoms are Zn at (0.0000, 0.0000, 0.2017), Rh at (0.6667, 0.3333, 0.0000), Rh at (0.6667, 0.3333, 0.5000) and O at (0.6667, 0.3333, 0.3114).



[15]
First-principles (GGA-PBE) data for a relaxed Zn2Rh3O8 crystal, as listed in Alexandria via LeMat-Bulk.

As for the total energy: -5.804 eV per atom. The raw formation energy is -1079 kJ/mol of formula units. The density of states at the Fermi level comes out at 20.68 states/eV/cell.

It has space group C2/m (No. 12), with a = 9.7434 Å, b = 6.0067 Å, c = 5.3200 Å, α = 90.00°, β = 101.61° and γ = 90.00°. The inequivalent atoms are Zn at (0.2010, 0.0000, 0.0815), Rh at (0.0000, 0.2430, 0.5000), Rh at (0.0000, 0.5000, 0.0000), O at (0.0964, 0.5000, 0.3691), O at (0.1110, 0.0000, 0.3854) and O at (0.1216, 0.2708, 0.8600).



[16]
First-principles (GGA-PBE) data for a relaxed ZnRh2O crystal, as listed in Alexandria via LeMat-Bulk.

For the energy above the most stable polymorph in this dataset, the calculation gives 283 meV/atom. As for the total energy: -4.854 eV per atom. The raw formation energy is 146 kJ/mol of formula units. The density of states at the Fermi level comes out at 32.26 states/eV/cell.

It has space group Fm-3m (No. 225), with a = 5.8856 Å, b = 5.8856 Å, c = 5.8856 Å, α = 90.00°, β = 90.00° and γ = 90.00°. The inequivalent atoms are Zn at (0.0000, 0.0000, 0.0000), Rh at (0.2500, 0.2500, 0.2500) and O at (0.0000, 0.0000, 0.5000).



[17]
First-principles (GGA-PBE) data for a relaxed ZnRhO2 crystal, as listed in Alexandria via LeMat-Bulk.

As for the total energy: -5.380 eV per atom. The raw formation energy is -287 kJ/mol of formula units. The density of states at the Fermi level comes out at 10.12 states/eV/cell.

It has space group R-3m (No. 166, hexagonal axes), with a = 2.9047 Å, b = 2.9047 Å, c = 18.4475 Å, α = 90.00°, β = 90.00° and γ = 120.00°. The inequivalent atoms are Zn at (0.0000, 0.0000, 0.0000), Rh at (0.0000, 0.0000, 0.5000) and O at (0.0000, 0.0000, 0.3964).



[18]
First-principles (GGA-PBE) data for a relaxed Zn2RhO2 crystal, as listed in Alexandria via LeMat-Bulk.

For the energy above the most stable polymorph in this dataset, the calculation gives 221 meV/atom. As for the total energy: -4.208 eV per atom. The raw formation energy is -118 kJ/mol of formula units. The density of states at the Fermi level comes out at 9.36 states/eV/cell.

It has space group I4/mmm (No. 139), with a = 3.8208 Å, b = 3.8208 Å, c = 8.3948 Å, α = 90.00°, β = 90.00° and γ = 90.00°. The inequivalent atoms are Zn at (0.0000, 0.0000, 0.1541), Rh at (0.0000, 0.0000, 0.5000) and O at (0.0000, 0.5000, 0.2500).



[19]
First-principles (GGA-PBE) data for a relaxed Zn2RhO crystal, as listed in Alexandria via LeMat-Bulk.

As for the total energy: -4.070 eV per atom. The raw formation energy is -137 kJ/mol of formula units. The density of states at the Fermi level comes out at 7.73 states/eV/cell.

It has space group I-42d (No. 122), with a = 6.4659 Å, b = 6.4659 Å, c = 4.9244 Å, α = 90.00°, β = 90.00° and γ = 90.00°. The inequivalent atoms are Zn at (0.1834, 0.2500, 0.1250), Rh at (0.0000, 0.0000, 0.5000) and O at (0.0000, 0.0000, 0.0000).



Total magnetic moment for the records above, in order: 0.0; 2.0; 1.4; 0.0; 0.0; 0.9; 0.0; 2.7; 0.9; 0.0; 0.0; 0.0; 0.0; 0.4; 1.1; 0.0; 0.0; 1.3; 0.0 μB/f.u.